No. 1
CeSnF | PBE | optimized geometry

a b c (Å): 3.762 3.762 11.671
angles (deg): 90.00 90.00 120.00
Each line ends with the local moment (μB).
Fractional positions:
Ce: 0.667 0.333 0.168  1.00
Ce: 0.333 0.667 0.832  1.00
Sn: 0.000 0.000 0.378  -0.01
Sn: 0.000 0.000 0.622  -0.01
F: 0.667 0.333 0.932  0.00
F: 0.333 0.667 0.068  0.00

E_form (uncorrected) = -1713.5 meV/atom
ΔE to the lowest computed polymorph = 117.9 meV/atom
SG = No. 164
Uncorrected energy = -5.65 eV/atom

=====

No. 2
K2Pm2F7 | PBE | optimized geometry

a b c (Å): 5.797 6.448 5.797
angles (deg): 90.01 94.02 89.99
Fractional positions:
K: 0.740 0.500 0.740
K: 0.260 0.500 0.260
Pm: 0.730 0.000 0.270
Pm: 0.270 0.000 0.730
F: 0.000 0.204 0.500
F: 0.500 0.796 0.000
F: 0.000 0.796 0.500
F: 0.500 0.204 0.000
F: 0.000 0.000 0.000
F: 0.500 0.798 0.500
F: 0.500 0.202 0.500

E_form (uncorrected) = -3451.4 meV/atom
SG = No. 65
Uncorrected energy = -5.71 eV/atom

=====

No. 3
Sc8TlIn2 | PBE | optimized geometry

a b c (Å): 4.808 7.636 8.453
angles (deg): 116.85 106.52 90.00
Each line ends with the local moment (μB).
Fractional positions:
Sc: 0.653 0.870 0.305  0.23
Sc: 0.347 0.565 0.695  0.23
Sc: 0.154 0.154 0.308  0.44
Sc: 0.000 0.297 0.000  0.41
Sc: 0.846 0.846 0.692  0.44
Sc: 0.653 0.435 0.305  0.23
Sc: 0.347 0.130 0.695  0.23
Sc: 0.000 0.703 0.000  0.41
Tl: 0.500 0.000 0.000  -0.02
In: 0.193 0.693 0.386  -0.02
In: 0.807 0.307 0.614  -0.02

ΔE_f = -202 kJ/mol of formula units
ΔE to the lowest computed polymorph = 0.0 meV/atom
SG = No. 71
Uncorrected energy = -5.51 eV/atom

=====

No. 4
NaScCu4 | PBE | optimized geometry

a b c (Å): 5.068 5.068 5.068
angles (deg): 60.00 60.00 60.00
Fractional positions:
Sc: 0.250 0.250 0.250
Na: 0.000 0.000 0.000
Cu: 0.625 0.625 0.125
Cu: 0.625 0.125 0.625
Cu: 0.625 0.625 0.625
Cu: 0.125 0.625 0.625

ΔE_f = 0 kJ/mol of formula units
SG = No. 216
Uncorrected energy = -4.01 eV/atom